[1]
Cs3Ho2TmSe6 | PBE-GGA | relaxed

Values from the calculation:
Magnetic moment (μB/f.u.): 0.0
Space group: No. 12
Raw formation energy (eV per formula unit): -20.6
Theoretical density (Mg/m³): 5.830

Cell: 7.343 7.343 8.716 Å, 98.07 98.07 120.00°
Fractional coordinates of all 12 atoms:
Cs 0.167 0.833 0.500
Cs 0.833 0.167 0.500
Cs 0.500 0.500 0.500
Ho 0.333 0.667 0.000
Ho 0.667 0.333 0.000
Tm 0.000 0.000 0.000
Se 0.939 0.607 0.816
Se 0.730 0.730 0.184
Se 0.061 0.393 0.184
Se 0.607 0.939 0.816
Se 0.270 0.270 0.816
Se 0.393 0.061 0.184

---

[2]
CrCoGe | PBE-GGA | relaxed

Values from the calculation:
Magnetic moment (μB/f.u.): 0.0
Space group: No. 12
Theoretical density (Mg/m³): 6.694
ΔH_f (0 K) (eV/atom): 0.219

Cell: 4.071 4.071 6.776 Å, 107.60 107.60 59.91°
Fractional coordinates of all 6 atoms:
Cr 0.950 0.950 0.847
Cr 0.050 0.050 0.153
Ge 0.567 0.567 0.700
Ge 0.433 0.433 0.300
Co 0.295 0.295 0.885
Co 0.705 0.705 0.115

---

[3]
H3IrSe | PBE-GGA | relaxed

Values from the calculation:
Relative energy among the computed polymorphs (meV/atom): 744.9
Magnetic moment (μB/f.u.): 0.5
Space group: No. 221
Theoretical density (Mg/m³): 9.582

Cell: 3.622 3.622 3.622 Å, 90.00 90.00 90.00°
Fractional coordinates of all 5 atoms:
H 0.000 0.500 0.000
H 0.000 0.000 0.500
H 0.500 0.000 0.000
Ir 0.500 0.500 0.500
Se 0.000 0.000 0.000

---

[4]
BOsW3 | PBE-GGA | relaxed

Values from the calculation:
Relative energy among the computed polymorphs (meV/atom): 0.0
Magnetic moment (μB/f.u.): 0.0
Space group: No. 221
Theoretical density (Mg/m³): 17.319
ΔH_f (0 K) (eV/atom): 0.270

Cell: 4.163 4.163 4.163 Å, 90.00 90.00 90.00°
Fractional coordinates of all 5 atoms:
B 0.000 0.000 0.000
Os 0.500 0.500 0.500
W 0.000 0.500 0.000
W 0.000 0.000 0.500
W 0.500 0.000 0.000

---

[5]
TiCoCl2 | PBE-GGA | relaxed

Values from the calculation:
Relative energy among the computed polymorphs (meV/atom): 309.1
Magnetic moment (μB/f.u.): 0.0
Space group: No. 122
Raw formation energy (eV per formula unit): -0.3
Theoretical density (Mg/m³): 4.146

Cell: 5.359 5.359 6.239 Å, 64.56 64.56 90.00°
Fractional coordinates of all 8 atoms:
Cl 0.651 0.125 0.250
Cl 0.099 0.625 0.250
Cl 0.375 0.349 0.750
Cl 0.875 0.901 0.750
Co 0.000 0.000 0.000
Co 0.750 0.250 0.500
Ti 0.500 0.500 0.000
Ti 0.250 0.750 0.500

---

[6]
Pm3SiSe2 | PBE-GGA | relaxed

Values from the calculation:
Relative energy among the computed polymorphs (meV/atom): 0.0
Magnetic moment (μB/f.u.): 0.0
Space group: No. 15
Raw formation energy (eV per formula unit): -9.3
Theoretical density (Mg/m³): 6.454

Cell: 7.296 7.321 7.321 Å, 119.79 99.73 99.73°
Fractional coordinates of all 12 atoms:
Pm 0.000 0.183 0.341
Pm 0.500 0.341 0.183
Pm 0.000 0.500 0.000
Pm 0.000 0.817 0.659
Pm 0.500 0.000 0.500
Pm 0.500 0.659 0.817
Si 0.250 0.586 0.414
Si 0.750 0.414 0.586
Se 0.250 0.917 0.083
Se 0.250 0.248 0.752
Se 0.750 0.083 0.917
Se 0.750 0.752 0.248

---

[7]
Ce3Sb2N2 | PBE-GGA | relaxed

Values from the calculation:
Magnetic moment (μB/f.u.): 0.4
Space group: No. 12
Raw formation energy (eV per formula unit): -8.8
Theoretical density (Mg/m³): 7.034

Cell: 4.076 6.598 7.096 Å, 66.37 73.31 72.01°
Fractional coordinates of all 7 atoms:
Ce 0.000 0.000 0.000
Ce 0.802 0.626 0.770
Ce 0.198 0.374 0.230
Sb 0.566 0.226 0.643
Sb 0.434 0.774 0.357
N 0.799 0.324 0.078
N 0.201 0.676 0.922

---

[8]
HoInAgHg | PBE-GGA | relaxed

Values from the calculation:
Magnetic moment (μB/f.u.): 0.0
Space group: No. 216
Theoretical density (Mg/m³): 10.802
ΔH_f (0 K) (eV/atom): -0.330

Cell: 5.038 5.038 5.038 Å, 60.00 60.00 60.00°
Fractional coordinates of all 4 atoms:
In 0.250 0.250 0.250
Hg 0.500 0.500 0.500
Ag 0.000 0.000 0.000
Ho 0.750 0.750 0.750

---

[9]
Rb4Th3CoSe8 | PBE-GGA | relaxed

Values from the calculation:
Magnetic moment (μB/f.u.): 2.4
Space group: No. 166
Raw formation energy (eV per formula unit): -20.9
Theoretical density (Mg/m³): 5.690

Cell: 8.505 9.432 8.503 Å, 116.77 120.01 90.00°
Fractional coordinates of all 16 atoms:
Rb 0.500 0.000 0.000
Rb 0.500 0.000 0.500
Rb 0.000 0.000 0.000
Rb 0.000 0.000 0.500
Th 0.500 0.500 0.000
Th 0.500 0.500 0.500
Th 0.000 0.500 0.500
Co 0.000 0.500 0.000
Se 0.226 0.694 0.967
Se 0.226 0.693 0.452
Se 0.264 0.292 0.528
Se 0.741 0.694 0.967
Se 0.259 0.306 0.033
Se 0.736 0.708 0.472
Se 0.774 0.307 0.548
Se 0.774 0.306 0.033

---

[10]
ZnCuO | PBE-GGA | relaxed

Values from the calculation:
Relative energy among the computed polymorphs (meV/atom): 0.0
Magnetic moment (μB/f.u.): 0.0
Space group: No. 12
Raw formation energy (eV per formula unit): -1.8
Theoretical density (Mg/m³): 6.241

Cell: 4.850 3.093 11.002 Å, 90.00 110.81 90.00°
Fractional coordinates of all 12 atoms:
Zn 0.319 0.000 0.136
Zn 0.681 0.000 0.864
Zn 0.319 0.500 0.636
Zn 0.681 0.500 0.364
Cu 0.141 0.000 0.431
Cu 0.859 0.000 0.569
Cu 0.141 0.500 0.931
Cu 0.859 0.500 0.069
O 0.393 0.000 0.333
O 0.607 0.000 0.667
O 0.393 0.500 0.833
O 0.607 0.500 0.167

---

> Which formula does entry 5 have?

TiCoCl2

---

> The highest theoretical density belongs to which entry?

BOsW3

---

> What is the formula in the first record?

Cs3Ho2TmSe6

---

> magnetic moment of number 2 (CrCoGe)?

0.0 μB/f.u.